# 1
Material: Mo3I
Method: DFT, GGA-PBEsol
State: relaxed

The uncorrected formation energy is 3.60 eV/f.u. The value obtained for the calculated total energy is -8.366 eV/atom.

The structure belongs to space group Fm-3m (No. 225); the cell edges are 6.431, 6.431 and 6.431 Å and the angles 90.00°, 90.00° and 90.00°. Symmetry generates all atoms from Mo at (0.000, 0.000, 0.000), Mo at (0.250, 0.250, 0.250) and I at (0.000, 0.000, 0.500).

---

# 2
Material: MoIN2
Method: DFT, GGA-PBEsol
State: relaxed

The uncorrected formation energy is 0.28 eV/f.u. The value obtained for the calculated total energy is -7.576 eV/atom.

The structure belongs to space group Fd-3m (No. 227, origin choice 2); the cell edges are 8.489, 8.489 and 8.489 Å and the angles 90.00°, 90.00° and 90.00°. Symmetry generates all atoms from Mo at (0.125, 0.125, 0.125), I at (0.125, 0.125, 0.625) and N at (0.000, 0.000, 0.000).

---

# 3
Material: MoI2N2
Method: DFT, GGA-PBEsol
State: relaxed

The uncorrected formation energy is 4.13 eV/f.u. The value obtained for the calculated total energy is -5.645 eV/atom.

The structure belongs to space group P4/mmm (No. 123); the cell edges are 4.078, 4.078 and 5.766 Å and the angles 90.00°, 90.00° and 90.00°. Symmetry generates all atoms from Mo at (0.000, 0.000, 0.000), I at (0.000, 0.000, 0.500), I at (0.500, 0.500, 0.500) and N at (0.000, 0.500, 0.000).

---

Which of these has the lowest calculated total energy? Mo3I